This record from Alexandria describes a geometry-optimized Ca3Pt structure. The functional is PBE-GGA.

DFT formation energy = -49 kJ/mol of atoms
Symmetry = Pmmn
Crystal system = orthorhombic
Total moment = 0.000 Bohr magnetons per cell

Unit cell a=3.9051 b=6.9259 c=9.7021 alpha=90.00 beta=90.00 gamma=90.00
Fractional positions:
Ca (0.2500, 0.0097, 0.1742)
Ca (0.2500, 0.2500, 0.5345)
Ca (0.2500, 0.4903, 0.1742)
Ca (0.7500, 0.5097, 0.8258)
Ca (0.7500, 0.7500, 0.4655)
Ca (0.7500, 0.9903, 0.8258)
Pt (0.2500, 0.7500, 0.6833)
Pt (0.7500, 0.2500, 0.3167)


This record from Alexandria describes a geometry-optimized CaPt structure. The functional is PBE-GGA.

DFT formation energy = -25 kJ/mol of atoms
Symmetry = F-43m
Crystal system = cubic
Total moment = 0.376 Bohr magnetons per cell

Unit cell a=6.4593 b=6.4593 c=6.4593 alpha=90.00 beta=90.00 gamma=90.00
Fractional positions:
Ca (0.0000, 0.0000, 0.0000)
Ca (0.0000, 0.5000, 0.5000)
Ca (0.5000, 0.0000, 0.5000)
Ca (0.5000, 0.5000, 0.0000)
Pt (0.2500, 0.2500, 0.2500)
Pt (0.2500, 0.7500, 0.7500)
Pt (0.7500, 0.2500, 0.7500)
Pt (0.7500, 0.7500, 0.2500)


This record from Alexandria describes a geometry-optimized Ca3Pt structure. The functional is PBE-GGA.

DFT formation energy = -23 kJ/mol of atoms
Symmetry = Pm-3n
Crystal system = cubic
Total moment = 0.001 Bohr magnetons per cell

Unit cell a=6.0604 b=6.0604 c=6.0604 alpha=90.00 beta=90.00 gamma=90.00
Fractional positions:
Ca (0.0000, 0.2500, 0.5000)
Ca (0.0000, 0.7500, 0.5000)
Ca (0.2500, 0.5000, 0.0000)
Ca (0.5000, 0.0000, 0.2500)
Ca (0.5000, 0.0000, 0.7500)
Ca (0.7500, 0.5000, 0.0000)
Pt (0.0000, 0.0000, 0.0000)
Pt (0.5000, 0.5000, 0.5000)


This record from Alexandria describes a geometry-optimized Ca7Pt3 structure. The functional is PBE-GGA.

DFT formation energy = -43 kJ/mol of atoms
Symmetry = P4mm
Crystal system = tetragonal
Total moment = 0.000 Bohr magnetons per cell

Unit cell a=4.0328 b=4.0328 c=19.8864 alpha=90.00 beta=90.00 gamma=90.00
Fractional positions:
Ca (0.0000, 0.0000, 0.0000)
Ca (0.0000, 0.0000, 0.1767)
Ca (0.0000, 0.0000, 0.4478)
Ca (0.0000, 0.0000, 0.7162)
Ca (0.5000, 0.5000, 0.3114)
Ca (0.5000, 0.5000, 0.5792)
Ca (0.5000, 0.5000, 0.8772)
Pt (0.0000, 0.0000, 0.8532)
Pt (0.5000, 0.5000, 0.0364)
Pt (0.5000, 0.5000, 0.1710)


This record from Alexandria describes a geometry-optimized CaPt structure. The functional is PBE-GGA.

DFT formation energy = -63 kJ/mol of atoms
Symmetry = P4/nmm
Crystal system = tetragonal
Total moment = 0.000 Bohr magnetons per cell

Unit cell a=4.0762 b=4.0762 c=5.8682 alpha=90.00 beta=90.00 gamma=90.00
Fractional positions:
Ca (0.2500, 0.2500, 0.2121)
Ca (0.7500, 0.7500, 0.7879)
Pt (0.2500, 0.2500, 0.7078)
Pt (0.7500, 0.7500, 0.2922)


This record from Alexandria describes a geometry-optimized Ca3Pt structure. The functional is PBE-GGA.

DFT formation energy = -26 kJ/mol of atoms
Symmetry = I4/mmm
Crystal system = tetragonal
Total moment = 0.000 Bohr magnetons per cell

Unit cell a=5.0446 b=5.0446 c=8.4353 alpha=90.00 beta=90.00 gamma=90.00
Fractional positions:
Ca (0.0000, 0.0000, 0.0000)
Ca (0.0000, 0.5000, 0.2500)
Ca (0.0000, 0.5000, 0.7500)
Ca (0.5000, 0.0000, 0.2500)
Ca (0.5000, 0.0000, 0.7500)
Ca (0.5000, 0.5000, 0.5000)
Pt (0.0000, 0.0000, 0.5000)
Pt (0.5000, 0.5000, 0.0000)


This record from Alexandria describes a geometry-optimized Ca4Pt3 structure. The functional is PBE-GGA.

Offset from the most stable computed form = 178 meV per atom
DFT formation energy = -65 kJ/mol of atoms
Symmetry = I4/mmm
Crystal system = tetragonal
Total moment = 0.000 Bohr magnetons per cell

Unit cell a=3.9430 b=3.9430 c=24.1478 alpha=90.00 beta=90.00 gamma=90.00
Fractional positions:
Ca (0.0000, 0.0000, 0.0654)
Ca (0.0000, 0.0000, 0.3058)
Ca (0.0000, 0.0000, 0.6942)
Ca (0.0000, 0.0000, 0.9346)
Ca (0.5000, 0.5000, 0.1942)
Ca (0.5000, 0.5000, 0.4346)
Ca (0.5000, 0.5000, 0.5654)
Ca (0.5000, 0.5000, 0.8058)
Pt (0.0000, 0.0000, 0.1813)
Pt (0.0000, 0.0000, 0.5000)
Pt (0.0000, 0.0000, 0.8187)
Pt (0.5000, 0.5000, 0.0000)
Pt (0.5000, 0.5000, 0.3187)
Pt (0.5000, 0.5000, 0.6813)


This record from Alexandria describes a geometry-optimized Ca3Pt2 structure. The functional is PBE-GGA.

Offset from the most stable computed form = 0 meV per atom
DFT formation energy = -84 kJ/mol of atoms
Symmetry = R-3
Crystal system = trigonal
Total moment = 0.000 Bohr magnetons per cell

Unit cell a=7.6054 b=7.6054 c=7.6054 alpha=70.89 beta=70.89 gamma=70.89
Fractional positions:
Ca (0.0000, 0.0000, 0.0000)
Ca (0.1526, 0.6670, 0.3989)
Ca (0.2001, 0.2001, 0.2001)
Ca (0.3330, 0.6011, 0.8474)
Ca (0.3989, 0.1526, 0.6670)
Ca (0.6011, 0.8474, 0.3330)
Ca (0.6670, 0.3989, 0.1526)
Ca (0.7999, 0.7999, 0.7999)
Ca (0.8474, 0.3330, 0.6011)
Pt (0.0462, 0.4129, 0.8392)
Pt (0.1608, 0.9538, 0.5871)
Pt (0.4129, 0.8392, 0.0462)
Pt (0.5871, 0.1608, 0.9538)
Pt (0.8392, 0.0462, 0.4129)
Pt (0.9538, 0.5871, 0.1608)


This record from Alexandria describes a geometry-optimized CaPt structure. The functional is PBE-GGA.

DFT formation energy = -59 kJ/mol of atoms
Symmetry = P2/m
Crystal system = monoclinic
Total moment = 0.000 Bohr magnetons per cell

Unit cell a=7.1355 b=4.0178 c=9.2147 alpha=90.00 beta=105.33 gamma=90.00
Fractional positions:
Ca (0.0000, 0.0000, 0.0000)
Ca (0.0000, 0.0000, 0.5000)
Ca (0.3453, 0.0000, 0.3543)
Ca (0.3576, 0.5000, 0.0803)
Ca (0.6424, 0.5000, 0.9197)
Ca (0.6547, 0.0000, 0.6457)
Pt (0.0011, 0.5000, 0.7687)
Pt (0.3157, 0.0000, 0.8240)
Pt (0.3319, 0.5000, 0.6085)
Pt (0.6681, 0.5000, 0.3915)
Pt (0.6843, 0.0000, 0.1760)
Pt (0.9989, 0.5000, 0.2313)


This record from Alexandria describes a geometry-optimized CaPt structure. The functional is PBE-GGA.

DFT formation energy = -69 kJ/mol of atoms
Symmetry = P2_13
Crystal system = cubic
Total moment = 0.000 Bohr magnetons per cell

Unit cell a=5.6093 b=5.6093 c=5.6093 alpha=90.00 beta=90.00 gamma=90.00
Fractional positions:
Ca (0.0849, 0.4151, 0.5849)
Ca (0.4151, 0.5849, 0.0849)
Ca (0.5849, 0.0849, 0.4151)
Ca (0.9151, 0.9151, 0.9151)
Pt (0.0891, 0.9109, 0.4109)
Pt (0.4109, 0.0891, 0.9109)
Pt (0.5891, 0.5891, 0.5891)
Pt (0.9109, 0.4109, 0.0891)


This record from Alexandria describes a geometry-optimized CaPt structure. The functional is PBE-GGA.

DFT formation energy = -45 kJ/mol of atoms
Symmetry = P4mm
Crystal system = tetragonal
Total moment = 0.000 Bohr magnetons per cell

Unit cell a=4.9029 b=4.9029 c=11.4809 alpha=90.00 beta=90.00 gamma=90.00
Fractional positions:
Ca (0.0000, 0.0000, 0.0000)
Ca (0.0000, 0.0000, 0.2637)
Ca (0.0000, 0.0000, 0.7184)
Ca (0.0000, 0.5000, 0.4481)
Ca (0.5000, 0.0000, 0.4481)
Ca (0.5000, 0.5000, 0.7415)
Pt (0.0000, 0.5000, 0.1455)
Pt (0.0000, 0.5000, 0.8728)
Pt (0.5000, 0.0000, 0.1455)
Pt (0.5000, 0.0000, 0.8728)
Pt (0.5000, 0.5000, 0.0200)
Pt (0.5000, 0.5000, 0.2737)


This record from Alexandria describes a geometry-optimized CaPt structure. The functional is PBE-GGA.

DFT formation energy = -70 kJ/mol of atoms
Symmetry = Fddd
Crystal system = orthorhombic
Total moment = 0.000 Bohr magnetons per cell

Unit cell a=7.3065 b=6.7895 c=5.8451 alpha=70.21 beta=60.97 gamma=48.83
Fractional positions:
Ca (0.0826, 0.6674, 0.0826)
Ca (0.3326, 0.9174, 0.3326)
Ca (0.6674, 0.0826, 0.6674)
Ca (0.9174, 0.3326, 0.9174)
Pt (0.1898, 0.5602, 0.5602)
Pt (0.4398, 0.8102, 0.8102)
Pt (0.5602, 0.1898, 0.1898)
Pt (0.8102, 0.4398, 0.4398)


This record from Alexandria describes a geometry-optimized Ca3Pt structure. The functional is PBE-GGA.

DFT formation energy = -43 kJ/mol of atoms
Symmetry = R-3m
Crystal system = trigonal
Total moment = 0.000 Bohr magnetons per cell

Unit cell a=4.0487 b=4.0487 c=29.7146 alpha=90.00 beta=90.00 gamma=120.00
Fractional positions:
Ca (0.0000, 0.0000, 0.0000)
Ca (0.0000, 0.0000, 0.2212)
Ca (0.0000, 0.0000, 0.7788)
Ca (0.3333, 0.6667, 0.4455)
Ca (0.3333, 0.6667, 0.6667)
Ca (0.3333, 0.6667, 0.8879)
Ca (0.6667, 0.3333, 0.1121)
Ca (0.6667, 0.3333, 0.3333)
Ca (0.6667, 0.3333, 0.5545)
Pt (0.0000, 0.0000, 0.5000)
Pt (0.3333, 0.6667, 0.1667)
Pt (0.6667, 0.3333, 0.8333)


This record from Alexandria describes a geometry-optimized CaPt structure. The functional is PBE-GGA.

DFT formation energy = -68 kJ/mol of atoms
Symmetry = Cm
Crystal system = monoclinic
Total moment = 0.000 Bohr magnetons per cell

Unit cell a=10.7212 b=3.2542 c=7.7821 alpha=90.00 beta=102.37 gamma=90.00
Fractional positions:
Ca (0.0000, 0.0000, 0.0000)
Ca (0.0721, 0.0000, 0.6178)
Ca (0.2974, 0.0000, 0.2921)
Ca (0.5000, 0.5000, 0.0000)
Ca (0.5721, 0.5000, 0.6178)
Ca (0.7974, 0.5000, 0.2921)
Pt (0.0720, 0.5000, 0.3107)
Pt (0.2245, 0.5000, 0.9330)
Pt (0.3509, 0.0000, 0.7039)
Pt (0.5720, 0.0000, 0.3107)
Pt (0.7245, 0.0000, 0.9330)
Pt (0.8509, 0.5000, 0.7039)


This record from Alexandria describes a geometry-optimized CaPt structure. The functional is PBE-GGA.

DFT formation energy = -64 kJ/mol of atoms
Symmetry = Pmc2_1
Crystal system = orthorhombic
Total moment = 0.000 Bohr magnetons per cell

Unit cell a=4.8439 b=8.8940 c=6.0910 alpha=90.00 beta=90.00 gamma=90.00
Fractional positions:
Ca (0.0000, 0.0109, 0.0000)
Ca (0.0000, 0.3753, 0.6803)
Ca (0.0000, 0.6247, 0.1803)
Ca (0.0000, 0.9891, 0.5000)
Ca (0.5000, 0.2143, 0.3161)
Ca (0.5000, 0.7857, 0.8161)
Pt (0.0000, 0.3041, 0.1543)
Pt (0.0000, 0.6959, 0.6543)
Pt (0.5000, 0.1572, 0.7962)
Pt (0.5000, 0.4630, 0.9676)
Pt (0.5000, 0.5370, 0.4676)
Pt (0.5000, 0.8428, 0.2962)


This record from Alexandria describes a geometry-optimized CaPt structure. The functional is PBE-GGA.

DFT formation energy = -22 kJ/mol of atoms
Symmetry = Pm-3n
Crystal system = cubic
Total moment = 0.000 Bohr magnetons per cell

Unit cell a=7.9163 b=7.9163 c=7.9163 alpha=90.00 beta=90.00 gamma=90.00
Fractional positions:
Ca (0.0000, 0.2500, 0.5000)
Ca (0.0000, 0.7500, 0.5000)
Ca (0.2500, 0.5000, 0.0000)
Ca (0.5000, 0.0000, 0.2500)
Ca (0.5000, 0.0000, 0.7500)
Ca (0.7500, 0.5000, 0.0000)
Pt (0.0000, 0.5000, 0.2500)
Pt (0.0000, 0.5000, 0.7500)
Pt (0.2500, 0.0000, 0.5000)
Pt (0.5000, 0.2500, 0.0000)
Pt (0.5000, 0.7500, 0.0000)
Pt (0.7500, 0.0000, 0.5000)


This record from Alexandria describes a geometry-optimized CaPt6 structure. The functional is PBE-GGA.

Offset from the most stable computed form = 632 meV per atom
DFT formation energy = 28 kJ/mol of atoms
Symmetry = Im-3m
Crystal system = cubic
Total moment = 2.728 Bohr magnetons per cell

Unit cell a=7.0539 b=7.0539 c=7.0539 alpha=90.00 beta=90.00 gamma=90.00
Fractional positions:
Ca (0.0000, 0.0000, 0.0000)
Ca (0.5000, 0.5000, 0.5000)
Pt (0.0000, 0.2500, 0.5000)
Pt (0.0000, 0.5000, 0.2500)
Pt (0.0000, 0.5000, 0.7500)
Pt (0.0000, 0.7500, 0.5000)
Pt (0.2500, 0.0000, 0.5000)
Pt (0.2500, 0.5000, 0.0000)
Pt (0.5000, 0.0000, 0.2500)
Pt (0.5000, 0.0000, 0.7500)
Pt (0.5000, 0.2500, 0.0000)
Pt (0.5000, 0.7500, 0.0000)
Pt (0.7500, 0.0000, 0.5000)
Pt (0.7500, 0.5000, 0.0000)


This record from Alexandria describes a geometry-optimized CaPt5 structure. The functional is PBE-GGA.

DFT formation energy = -52 kJ/mol of atoms
Symmetry = P6/mmm
Crystal system = hexagonal
Total moment = 0.000 Bohr magnetons per cell

Unit cell a=5.4013 b=5.4013 c=4.4157 alpha=90.00 beta=90.00 gamma=120.00
Fractional positions:
Ca (0.0000, 0.0000, 0.0000)
Pt (0.0000, 0.5000, 0.5000)
Pt (0.3333, 0.6667, 0.0000)
Pt (0.5000, 0.0000, 0.5000)
Pt (0.5000, 0.5000, 0.5000)
Pt (0.6667, 0.3333, 0.0000)


This record from Alexandria describes a geometry-optimized Ca3Pt structure. The functional is PBE-GGA.

DFT formation energy = -56 kJ/mol of atoms
Symmetry = P4_2/n
Crystal system = tetragonal
Total moment = 0.000 Bohr magnetons per cell

Unit cell a=12.2046 b=12.2046 c=6.3069 alpha=90.00 beta=90.00 gamma=90.00
Fractional positions:
Ca (0.0288, 0.9155, 0.2151)
Ca (0.0845, 0.5288, 0.7151)
Ca (0.1191, 0.2941, 0.0175)
Ca (0.1279, 0.8340, 0.7085)
Ca (0.1660, 0.6279, 0.2085)
Ca (0.2059, 0.1191, 0.4825)
Ca (0.2941, 0.3809, 0.4825)
Ca (0.3340, 0.8721, 0.2085)
Ca (0.3721, 0.6660, 0.7085)
Ca (0.3809, 0.2059, 0.0175)
Ca (0.4155, 0.9712, 0.7151)
Ca (0.4712, 0.5845, 0.2151)
Ca (0.5288, 0.4155, 0.7849)
Ca (0.5845, 0.0288, 0.2849)
Ca (0.6191, 0.7941, 0.9825)
Ca (0.6279, 0.3340, 0.2915)
Ca (0.6660, 0.1279, 0.7915)
Ca (0.7059, 0.6191, 0.5175)
Ca (0.7941, 0.8809, 0.5175)
Ca (0.8340, 0.3721, 0.7915)
Ca (0.8721, 0.1660, 0.2915)
Ca (0.8809, 0.7059, 0.9825)
Ca (0.9155, 0.4712, 0.2849)
Ca (0.9712, 0.0845, 0.7849)
Pt (0.0388, 0.3022, 0.5388)
Pt (0.1978, 0.0388, 0.9612)
Pt (0.3022, 0.4612, 0.9612)
Pt (0.4612, 0.1978, 0.5388)
Pt (0.5388, 0.8022, 0.4612)
Pt (0.6978, 0.5388, 0.0388)
Pt (0.8022, 0.9612, 0.0388)
Pt (0.9612, 0.6978, 0.4612)


This record from Alexandria describes a geometry-optimized Ca7Pt5 structure. The functional is PBE-GGA.

Offset from the most stable computed form = 0 meV per atom
DFT formation energy = -45 kJ/mol of atoms
Symmetry = P2
Crystal system = monoclinic
Total moment = 0.000 Bohr magnetons per cell

Unit cell a=5.6015 b=9.7432 c=5.6566 alpha=90.00 beta=112.33 gamma=90.00
Fractional positions:
Ca (0.0000, 0.0000, 0.0000)
Ca (0.0000, 0.1293, 0.5000)
Ca (0.0000, 0.4531, 0.5000)
Ca (0.0000, 0.6188, 0.0000)
Ca (0.5000, 0.3885, 0.0000)
Ca (0.5000, 0.6796, 0.5000)
Ca (0.5000, 0.8357, 0.0000)
Pt (0.0000, 0.3170, 0.0000)
Pt (0.0000, 0.7584, 0.5000)
Pt (0.5000, 0.0085, 0.5000)
Pt (0.5000, 0.1069, 0.0000)
Pt (0.5000, 0.3106, 0.5000)


This record from Alexandria describes a geometry-optimized Ca3Pt structure. The functional is PBE-GGA.

DFT formation energy = -40 kJ/mol of atoms
Symmetry = P-6m2
Crystal system = hexagonal
Total moment = 0.000 Bohr magnetons per cell

Unit cell a=3.9820 b=3.9820 c=10.0071 alpha=90.00 beta=90.00 gamma=120.00
Fractional positions:
Ca (0.0000, 0.0000, 0.0000)
Ca (0.6667, 0.3333, 0.3266)
Ca (0.6667, 0.3333, 0.6734)
Pt (0.0000, 0.0000, 0.5000)


This record from Alexandria describes a geometry-optimized Ca3Pt structure. The functional is PBE-GGA.

DFT formation energy = -49 kJ/mol of atoms
Symmetry = Imm2
Crystal system = orthorhombic
Total moment = 0.000 Bohr magnetons per cell

Unit cell a=3.9415 b=9.9969 c=6.5688 alpha=90.00 beta=90.00 gamma=90.00
Fractional positions:
Ca (0.0000, 0.0000, 0.0000)
Ca (0.0000, 0.1827, 0.4972)
Ca (0.0000, 0.8173, 0.4972)
Ca (0.5000, 0.3173, 0.9972)
Ca (0.5000, 0.5000, 0.5000)
Ca (0.5000, 0.6827, 0.9972)
Pt (0.0000, 0.5000, 0.8099)
Pt (0.5000, 0.0000, 0.3099)